Density functional theory data (SCAN) for TeSeN2 at its PBEsol-relaxed geometry.

Lattice parameters (Å, degrees): 5.4296 5.4296 5.4296 99.63 114.61 114.61
Last column: nearest neighbours and their distance in Å.
Sites, in units of the cell vectors:
Se (0.0000, 0.5000, 0.5000)  4 N 2.21
N (0.0100, 0.1350, 0.6250)  2 Se 2.21, 2 Te 2.29
Te (0.5000, 0.7500, 0.2500)  4 N 2.29
N (0.4900, 0.8750, 0.8650)  2 Se 2.21, 2 Te 2.29
N (0.5100, 0.3750, 0.3850)  2 Se 2.21, 2 Te 2.29
N (0.9900, 0.6150, 0.1250)  2 Se 2.21, 2 Te 2.29
Se (0.5000, 0.2500, 0.7500)  4 N 2.21
Te (0.0000, 0.0000, 0.0000)  4 N 2.29

Calculated values
The space group is No. 122. The calculation puts the total energy at -1.289 Ry/atom.